No. 1
A geometry-optimized TcBSeN2 structure, computed with PBE.

Results
DOS(E_F) = 2.63 states/eV per cell
E = -0.4386 Ry per atom
Total magnetization = 0.4 μB per formula unit
Raw formation energy = 1469 meV per atom
Mass density = 5018 kg/m3

```
data_TcBSeN2
_chemical_formula_sum 'Tc1 B1 Se1 N2'
_symmetry_space_group_name_H-M 'P 4/m m m'
_symmetry_Int_Tables_number 123
_symmetry_space_group_name_Hall '-P 4 2'
_cell_length_a 3.289
_cell_length_b 3.289
_cell_length_c 6.603
_cell_angle_alpha 90.00
_cell_angle_beta 90.00
_cell_angle_gamma 90.00
loop_
_atom_site_label
_atom_site_type_symbol
_atom_site_fract_x
_atom_site_fract_y
_atom_site_fract_z
Tc1 Tc 0.000 0.000 0.000
B1 B 0.500 0.500 0.500
Se1 Se 0.500 0.500 0.000
N1 N 0.000 0.500 0.500
```


No. 2
A geometry-optimized TlBSeN2 structure, computed with PBE.

Results
DOS(E_F) = 3.21 states/eV per cell
E = -0.3161 Ry per atom
Total magnetization = 0.0 μB per formula unit
Raw formation energy = 1535 meV per atom
Mass density = 6607 kg/m3

```
data_TlBSeN2
_chemical_formula_sum 'Tl1 B1 Se1 N2'
_symmetry_space_group_name_H-M 'P 4/m m m'
_symmetry_Int_Tables_number 123
_symmetry_space_group_name_Hall '-P 4 2'
_cell_length_a 3.532
_cell_length_b 3.532
_cell_length_c 6.492
_cell_angle_alpha 90.00
_cell_angle_beta 90.00
_cell_angle_gamma 90.00
loop_
_atom_site_label
_atom_site_type_symbol
_atom_site_fract_x
_atom_site_fract_y
_atom_site_fract_z
Tl1 Tl 0.000 0.000 0.000
B1 B 0.500 0.500 0.500
Se1 Se 0.500 0.500 0.000
N1 N 0.000 0.500 0.500
```